First-principles (PBE+U) data for an optimized crystal structure of CaFeHgO2, as listed in the Alexandria database.

Unit cell a=4.1507 b=4.1507 c=4.9986 alpha=90.00 beta=90.00 gamma=90.00
Space group P4/mmm (No. 123)
Asymmetric unit:
Ca: 0.0000 0.0000 0.0000
Fe: 0.5000 0.5000 0.5000
Hg: 0.5000 0.5000 0.0000
O: 0.0000 0.5000 0.5000

Calculated values
- Uncorrected energy: -4.265 eV per atom
- Calculated density: 6.3 g cm⁻³
- Spin magnetization: 4.09 μB per formula unit
- D(E_F): 1.20 states/eV/f.u.